Entry 1:
YZr2Tc | PBE | relaxed

a b c (Å): 3.283 4.542 6.243
angles (deg): 90.00 105.14 90.00
Atoms (fractional coordinates):
Y 0.000 0.000 0.000
Zr 0.343 0.000 0.542
Zr 0.688 0.500 0.310
Tc 0.168 0.500 0.735

Calculated formation energy   22.6 kJ/mol of formula units
Uncorrected energy   -33.69 eV per cell

***

Entry 2:
Mg5Si6 | PBE | relaxed

a b c (Å): 7.708 4.122 13.077
angles (deg): 90.00 99.28 90.00
Atoms (fractional coordinates):
Mg 0.000 0.000 0.000
Mg 0.030 0.500 0.631
Mg 0.126 0.500 0.184
Mg 0.242 0.000 0.807
Mg 0.297 0.000 0.350
Mg 0.404 0.000 0.603
Mg 0.549 0.000 0.983
Mg 0.736 0.000 0.486
Mg 0.784 0.000 0.754
Mg 0.834 0.000 0.232
Si 0.016 0.500 0.841
Si 0.018 0.500 0.382
Si 0.082 0.000 0.497
Si 0.271 0.500 0.978
Si 0.340 0.000 0.137
Si 0.471 0.500 0.760
Si 0.486 0.500 0.451
Si 0.533 0.500 0.168
Si 0.661 0.500 0.623
Si 0.701 0.500 0.337
Si 0.731 0.500 0.895
Si 0.789 0.500 0.080

Uncorrected energy   -79.41 eV per cell
Raw formation energy   73 meV/atom

***

Entry 3:
Pr6SmTm5 | PBE | relaxed

a b c (Å): 9.560 9.560 9.560
angles (deg): 148.71 116.60 72.40
Atoms (fractional coordinates):
Pr 0.082 0.333 0.749
Pr 0.248 0.000 0.248
Pr 0.416 0.667 0.749
Pr 0.584 0.333 0.251
Pr 0.752 0.000 0.752
Pr 0.918 0.667 0.251
Sm 0.500 0.500 0.000
Tm 0.000 0.500 0.500
Tm 0.167 0.167 0.000
Tm 0.333 0.833 0.500
Tm 0.667 0.167 0.500
Tm 0.833 0.833 0.000

Calculated formation energy   22.1 kJ/mol of formula units
Uncorrected energy   -55.52 eV per cell

***

Entry 4:
LiCaLa2Au4 | PBE | relaxed

a b c (Å): 8.936 8.936 8.936
angles (deg): 33.66 33.66 33.66
Atoms (fractional coordinates):
Li 0.000 0.000 0.000
Ca 0.500 0.500 0.500
La 0.254 0.254 0.254
La 0.746 0.746 0.746
Au 0.126 0.126 0.126
Au 0.377 0.377 0.377
Au 0.623 0.623 0.623
Au 0.874 0.874 0.874

Calculated formation energy   -577.1 kJ/mol of formula units
Uncorrected energy   -32.86 eV per cell

***

Entry 5:
Nb2Ni3Pd4 | PBE | relaxed

a b c (Å): 4.821 4.821 8.146
angles (deg): 108.82 108.82 46.78
Atoms (fractional coordinates):
Nb 0.174 0.174 0.234
Nb 0.826 0.826 0.766
Ni 0.169 0.169 0.554
Ni 0.500 0.500 0.000
Ni 0.831 0.831 0.446
Pd 0.163 0.163 0.889
Pd 0.490 0.490 0.662
Pd 0.510 0.510 0.338
Pd 0.837 0.837 0.111

Calculated formation energy   -258.9 kJ/mol of formula units
Uncorrected energy   -60.94 eV per cell

***

Entry 6:
TiBe2Ge | PBE | relaxed

a b c (Å): 3.655 3.655 3.587
angles (deg): 90.00 90.00 90.00
Atoms (fractional coordinates):
Ti 0.000 0.000 0.000
Be 0.000 0.500 0.500
Be 0.500 0.000 0.500
Ge 0.500 0.500 0.000

Calculated formation energy   -104.0 kJ/mol of formula units
Uncorrected energy   -21.04 eV per cell

***

Entry 7:
CaRuBr3 | PBE | relaxed

a b c (Å): 5.594 5.594 5.594
angles (deg): 90.00 90.00 90.00
Atoms (fractional coordinates):
Ca 0.000 0.000 0.000
Ru 0.500 0.500 0.500
Br 0.000 0.000 0.500
Br 0.000 0.500 0.000
Br 0.500 0.000 0.000

Uncorrected energy   -17.34 eV per cell
Raw formation energy   -209 meV/atom

***

Entry 8:
NbAg3Te | PBE | relaxed

a b c (Å): 5.190 5.190 5.190
angles (deg): 90.00 90.00 90.00
Atoms (fractional coordinates):
Nb 0.000 0.000 0.000
Ag 0.000 0.000 0.500
Ag 0.000 0.500 0.000
Ag 0.500 0.000 0.000
Te 0.500 0.500 0.500

Uncorrected energy   -14.96 eV per cell
Raw formation energy   1362 meV/atom

***

Entry 9:
BaLa2Cr | PBE | relaxed

a b c (Å): 5.813 5.813 5.813
angles (deg): 60.00 60.00 60.00
Atoms (fractional coordinates):
Ba 0.000 0.000 0.000
La 0.500 0.500 0.500
La 0.750 0.750 0.750
Cr 0.250 0.250 0.250

Calculated formation energy   211.5 kJ/mol of formula units
Uncorrected energy   -19.21 eV per cell

***

Entry 10:
Tb4Sm4Y | PBE | relaxed

a b c (Å): 8.038 8.038 8.038
angles (deg): 95.72 95.72 143.19
Atoms (fractional coordinates):
Tb 0.167 0.167 0.333
Tb 0.167 0.833 0.000
Tb 0.833 0.167 0.000
Tb 0.833 0.833 0.667
Sm 0.168 0.500 0.668
Sm 0.500 0.168 0.668
Sm 0.500 0.832 0.332
Sm 0.832 0.500 0.332
Y 0.500 0.500 0.000

Calculated formation energy   14.6 kJ/mol of formula units
Uncorrected energy   -43.71 eV per cell

***

Entry 11:
CaPt3 | PBE | relaxed

a b c (Å): 5.277 5.277 5.277
angles (deg): 90.00 90.00 90.00
Atoms (fractional coordinates):
Ca 0.000 0.000 0.000
Ca 0.500 0.500 0.500
Pt 0.000 0.250 0.500
Pt 0.000 0.750 0.500
Pt 0.250 0.500 0.000
Pt 0.500 0.000 0.250
Pt 0.500 0.000 0.750
Pt 0.750 0.500 0.000

Calculated formation energy   -79.6 kJ/mol of formula units
Uncorrected energy   -41.90 eV per cell

***

Entry 12:
Cu2Te4Pd | PBE | relaxed

a b c (Å): 7.909 7.909 7.909
angles (deg): 121.72 118.69 89.66
Atoms (fractional coordinates):
Cu 0.000 0.000 0.500
Cu 0.000 0.500 0.000
Cu 0.386 0.136 0.250
Cu 0.614 0.864 0.750
Te 0.224 0.742 0.482
Te 0.240 0.258 0.982
Te 0.242 0.255 0.513
Te 0.242 0.729 0.987
Te 0.758 0.271 0.013
Te 0.758 0.745 0.487
Te 0.760 0.742 0.018
Te 0.776 0.258 0.518
Pd 0.000 0.500 0.500
Pd 0.500 0.500 0.000

Uncorrected energy   -53.48 eV per cell
Raw formation energy   -113 meV/atom

***

Entry 13:
Al2GaFe2 | PBE | relaxed

a b c (Å): 6.483 6.483 3.132
angles (deg): 90.00 90.00 90.00
Atoms (fractional coordinates):
Al 0.145 0.355 0.000
Al 0.355 0.855 0.000
Al 0.645 0.145 0.000
Al 0.855 0.645 0.000
Ga 0.000 0.000 0.500
Ga 0.500 0.500 0.500
Fe 0.153 0.653 0.500
Fe 0.347 0.153 0.500
Fe 0.653 0.847 0.500
Fe 0.847 0.347 0.500

Calculated formation energy   -79.7 kJ/mol of formula units
Uncorrected energy   -56.53 eV per cell

***

Entry 14:
Mo2PRu | PBE | relaxed

a b c (Å): 2.903 2.903 6.712
angles (deg): 90.00 90.00 90.00
Atoms (fractional coordinates):
Mo 0.000 0.000 0.226
Mo 0.000 0.000 0.774
P 0.500 0.500 0.000
Ru 0.500 0.500 0.500

Calculated formation energy   -89.9 kJ/mol of formula units
Uncorrected energy   -37.28 eV per cell

***

Entry 15:
LaCeY2 | PBE | relaxed

a b c (Å): 11.905 11.905 11.905
angles (deg): 17.36 17.36 17.36
Atoms (fractional coordinates):
La 0.000 0.000 0.000
Ce 0.834 0.834 0.834
Y 0.247 0.247 0.247
Y 0.421 0.421 0.421

Calculated formation energy   25.1 kJ/mol of formula units
Uncorrected energy   -23.53 eV per cell

***

Entry 16:
Ta2FeSe5 | PBE | relaxed

a b c (Å): 9.638 7.196 7.175
angles (deg): 84.23 47.98 47.79
Atoms (fractional coordinates):
Ta 0.187 0.187 0.813
Ta 0.813 0.813 0.187
Fe 0.500 0.500 0.500
Se 0.000 0.000 0.000
Se 0.217 0.456 0.544
Se 0.456 0.217 0.783
Se 0.544 0.783 0.217
Se 0.783 0.544 0.456

Uncorrected energy   -52.60 eV per cell
Raw formation energy   -376 meV/atom

***

Entry 17:
RbMnTlSe2 | PBE | relaxed

a b c (Å): 9.155 9.155 10.484
angles (deg): 120.12 120.12 27.34
Atoms (fractional coordinates):
Rb 0.228 0.228 0.273
Rb 0.772 0.772 0.727
Mn 0.058 0.058 0.427
Mn 0.942 0.942 0.573
Tl 0.414 0.414 0.117
Tl 0.586 0.586 0.883
Se 0.112 0.112 0.708
Se 0.395 0.395 0.647
Se 0.605 0.605 0.353
Se 0.888 0.888 0.292

Uncorrected energy   -45.58 eV per cell
Raw formation energy   -664 meV/atom

***

Entry 18:
Rb3In4Bi4 | PBE | relaxed

a b c (Å): 16.471 16.471 16.471
angles (deg): 162.23 160.88 26.22
Atoms (fractional coordinates):
Rb 0.000 0.000 0.000
Rb 0.146 0.646 0.500
Rb 0.854 0.354 0.500
In 0.307 0.807 0.500
In 0.454 0.454 0.000
In 0.546 0.546 0.000
In 0.693 0.193 0.500
Bi 0.249 0.249 0.000
Bi 0.406 0.906 0.500
Bi 0.594 0.094 0.500
Bi 0.751 0.751 0.000

Calculated formation energy   -175.9 kJ/mol of formula units
Uncorrected energy   -31.20 eV per cell

***

Entry 19:
Sr2ReRu | PBE | relaxed

a b c (Å): 3.678 3.678 7.227
angles (deg): 90.00 90.00 90.00
Atoms (fractional coordinates):
Sr 0.000 0.000 0.238
Sr 0.000 0.000 0.762
Re 0.500 0.500 0.500
Ru 0.500 0.500 0.000

Calculated formation energy   499.6 kJ/mol of formula units
Uncorrected energy   -19.91 eV per cell

***

Entry 20:
CuIr2 | PBE | relaxed

a b c (Å): 5.784 5.784 5.784
angles (deg): 90.00 90.00 90.00
Atoms (fractional coordinates):
Cu 0.000 0.000 0.000
Cu 0.000 0.500 0.500
Cu 0.500 0.000 0.500
Cu 0.500 0.500 0.000
Ir 0.120 0.620 0.880
Ir 0.120 0.880 0.380
Ir 0.380 0.120 0.880
Ir 0.380 0.380 0.380
Ir 0.620 0.620 0.620
Ir 0.620 0.880 0.120
Ir 0.880 0.120 0.620
Ir 0.880 0.380 0.120

Calculated formation energy   331.1 kJ/mol of formula units
Uncorrected energy   -73.55 eV per cell